(1)
# Pm3PuRu2, optimized geometry, DFT PBE
data_Pm3PuRu2
_cell_length_a 6.240
_cell_length_b 6.953
_cell_length_c 6.953
_cell_angle_alpha 92.84
_cell_angle_beta 90.00
_cell_angle_gamma 90.00
_space_group_name_H-M_alt 'P 1'
_space_group_IT_number 1
loop_
_space_group_symop_operation_xyz
'x,y,z'
loop_
_atom_site_label
_atom_site_type_symbol
_atom_site_fract_x
_atom_site_fract_y
_atom_site_fract_z
Pm1 Pm 0.250 0.926 0.074
Pm2 Pm 0.750 0.074 0.926
Pm3 Pm 0.250 0.068 0.578
Pm4 Pm 0.750 0.932 0.422
Pm5 Pm 0.250 0.422 0.932
Pm6 Pm 0.750 0.578 0.068
Pu1 Pu 0.250 0.569 0.431
Pu2 Pu 0.750 0.431 0.569
Ru1 Ru 0.000 0.283 0.283
Ru2 Ru 0.500 0.717 0.717
Ru3 Ru 0.000 0.717 0.717
Ru4 Ru 0.500 0.283 0.283
# Energy above the lowest structure with this stoichiometry = 0 meV per atom
# SG = Cmcm (63)
# Energy of formation from the pure elements = -159.3 meV per atom

(2)
# NaTbRu2O8, optimized geometry, DFT PBE
data_NaTbRu2O8
_cell_length_a 5.232
_cell_length_b 5.232
_cell_length_c 6.860
_cell_angle_alpha 112.41
_cell_angle_beta 112.41
_cell_angle_gamma 90.00
_space_group_name_H-M_alt 'P 1'
_space_group_IT_number 1
loop_
_space_group_symop_operation_xyz
'x,y,z'
loop_
_atom_site_label
_atom_site_type_symbol
_atom_site_fract_x
_atom_site_fract_y
_atom_site_fract_z
Na1 Na 0.000 0.000 0.000
Tb1 Tb 0.750 0.250 0.500
Ru1 Ru 0.500 0.500 0.000
Ru2 Ru 0.250 0.750 0.500
O1 O 0.731 0.835 0.174
O2 O 0.443 0.339 0.174
O3 O 0.579 0.668 0.658
O4 O 0.080 0.990 0.658
O5 O 0.010 0.421 0.342
O6 O 0.332 0.920 0.342
O7 O 0.165 0.557 0.826
O8 O 0.661 0.269 0.826
# SG = I-4 (82)
# Raw formation energy = -1.456 eV per atom

(3)
# HfCrRh3, optimized geometry, DFT PBE
data_HfCrRh3
_cell_length_a 4.448
_cell_length_b 4.448
_cell_length_c 4.448
_cell_angle_alpha 90.00
_cell_angle_beta 90.00
_cell_angle_gamma 90.00
_space_group_name_H-M_alt 'P 1'
_space_group_IT_number 1
loop_
_space_group_symop_operation_xyz
'x,y,z'
loop_
_atom_site_label
_atom_site_type_symbol
_atom_site_fract_x
_atom_site_fract_y
_atom_site_fract_z
Rh1 Rh 0.000 0.500 0.000
Rh2 Rh 0.000 0.000 0.500
Rh3 Rh 0.500 0.000 0.000
Hf1 Hf 0.500 0.500 0.500
Cr1 Cr 0.000 0.000 0.000
# Energy above the lowest structure with this stoichiometry = 0 meV per atom
# SG = Pm-3m (221)
# Energy of formation from the pure elements = 402.8 meV per atom

no.,calculated volume (Å³ per atom)
1,25.107
2,13.178
3,17.604